[1]
A relaxed structure of PmY3HoEr, computed with PBE.

The structure in CIF format:
```
data_PmY3HoEr
_chemical_formula_sum 'Pm4 Y12 Ho4 Er4'
_symmetry_space_group_name_H-M 'C m c m'
_symmetry_Int_Tables_number 63
_symmetry_space_group_name_Hall '-C 2c 2'
_cell_length_a 5.038
_cell_length_b 15.133
_cell_length_c 10.091
_cell_angle_alpha 90.00
_cell_angle_beta 90.00
_cell_angle_gamma 90.00
loop_
_atom_site_label
_atom_site_type_symbol
_atom_site_fract_x
_atom_site_fract_y
_atom_site_fract_z
_atom_site_occupancy
Pm1 Pm 0.000 0.001 0.250 1
Y1 Y 0.000 0.166 0.000 1
Y2 Y 0.000 0.333 0.250 1
Ho1 Ho 0.000 0.500 0.000 1
Er1 Er 0.000 0.333 0.750 1
```

Total energy (eV per cell): -132.591

=====

[2]
A relaxed structure of RbNiB2Pd, computed with PBE.

The structure in CIF format:
```
data_RbNiB2Pd
_chemical_formula_sum 'Rb1 Ni1 B2 Pd1'
_symmetry_space_group_name_H-M 'P 4/m m m'
_symmetry_Int_Tables_number 123
_symmetry_space_group_name_Hall '-P 4 2'
_cell_length_a 3.913
_cell_length_b 3.913
_cell_length_c 5.847
_cell_angle_alpha 90.00
_cell_angle_beta 90.00
_cell_angle_gamma 90.00
loop_
_atom_site_label
_atom_site_type_symbol
_atom_site_fract_x
_atom_site_fract_y
_atom_site_fract_z
_atom_site_occupancy
Rb1 Rb 0.000 0.000 0.000 1
Ni1 Ni 0.000 0.000 0.500 1
B1 B 0.000 0.500 0.500 1
Pd1 Pd 0.500 0.500 0.000 1
```

Total energy (eV per cell): -19.579

=====

[3]
A relaxed structure of YCuAu, computed with PBE.

The structure in CIF format:
```
data_YCuAu
_chemical_formula_sum 'Y4 Cu4 Au4'
_symmetry_space_group_name_H-M 'F -4 3 m'
_symmetry_Int_Tables_number 216
_symmetry_space_group_name_Hall 'F -4 2 3'
_cell_length_a 6.397
_cell_length_b 6.397
_cell_length_c 6.397
_cell_angle_alpha 90.00
_cell_angle_beta 90.00
_cell_angle_gamma 90.00
loop_
_atom_site_label
_atom_site_type_symbol
_atom_site_fract_x
_atom_site_fract_y
_atom_site_fract_z
_atom_site_occupancy
Y1 Y 0.000 0.000 0.000 1
Cu1 Cu 0.250 0.250 0.750 1
Au1 Au 0.000 0.000 0.500 1
```

Total energy (eV per cell): -59.925

=====

[4]
A relaxed structure of CrHS2Cl, computed with PBE.

The structure in CIF format:
```
data_CrHS2Cl
_chemical_formula_sum 'Cr1 H1 S2 Cl1'
_symmetry_space_group_name_H-M 'P 4/m m m'
_symmetry_Int_Tables_number 123
_symmetry_space_group_name_Hall '-P 4 2'
_cell_length_a 4.440
_cell_length_b 4.440
_cell_length_c 4.955
_cell_angle_alpha 90.00
_cell_angle_beta 90.00
_cell_angle_gamma 90.00
loop_
_atom_site_label
_atom_site_type_symbol
_atom_site_fract_x
_atom_site_fract_y
_atom_site_fract_z
_atom_site_occupancy
Cr1 Cr 0.000 0.000 0.000 1
H1 H 0.500 0.500 0.500 1
S1 S 0.000 0.500 0.000 1
Cl1 Cl 0.000 0.000 0.500 1
```

Excess energy over the best structure of this formula in the dataset (eV per atom): 0.000
Total energy (eV per cell): -21.294

=====

[5]
A relaxed structure of BaHg3Bi4, computed with PBE.

The structure in CIF format:
```
data_BaHg3Bi4
_chemical_formula_sum 'Ba1 Hg3 Bi4'
_symmetry_space_group_name_H-M 'P -1'
_symmetry_Int_Tables_number 2
_symmetry_space_group_name_Hall '-P 1'
_cell_length_a 5.753
_cell_length_b 6.849
_cell_length_c 7.145
_cell_angle_alpha 92.99
_cell_angle_beta 99.90
_cell_angle_gamma 107.79
loop_
_atom_site_label
_atom_site_type_symbol
_atom_site_fract_x
_atom_site_fract_y
_atom_site_fract_z
_atom_site_occupancy
Ba1 Ba 0.000 0.000 0.000 1
Hg1 Hg 0.395 0.836 0.733 1
Hg2 Hg 0.500 0.500 0.000 1
Bi1 Bi 0.151 0.541 0.266 1
Bi2 Bi 0.245 0.227 0.559 1
```

Total energy (eV per cell): -19.974

=====

[6]
A relaxed structure of Hf2TiCdP, computed with PBE.

The structure in CIF format:
```
data_Hf2TiCdP
_chemical_formula_sum 'Hf2 Ti1 Cd1 P1'
_symmetry_space_group_name_H-M 'P 4/m m m'
_symmetry_Int_Tables_number 123
_symmetry_space_group_name_Hall '-P 4 2'
_cell_length_a 5.284
_cell_length_b 5.284
_cell_length_c 4.607
_cell_angle_alpha 90.00
_cell_angle_beta 90.00
_cell_angle_gamma 90.00
loop_
_atom_site_label
_atom_site_type_symbol
_atom_site_fract_x
_atom_site_fract_y
_atom_site_fract_z
_atom_site_occupancy
Hf1 Hf 0.000 0.500 0.000 1
Ti1 Ti 0.000 0.000 0.500 1
Cd1 Cd 0.500 0.500 0.000 1
P1 P 0.500 0.500 0.500 1
```

Total energy (eV per cell): -26.952

=====

Q: What is the total energy in the sixth record?
A: -26.952 eV per cell